Entry 1:
The following is a PBE calculation of a relaxed structure of Y2NO, from Alexandria via LeMat-Bulk.

Values from the calculation:
Calculated volume   53.0 Å³/cell
Raw formation energy   -1.5790 eV per atom
Crystal system   cubic
M_tot   0.0 μB/cell
Polymorph energy (0 for the lowest one)   0.7617 eV per atom
Space group   No. 225
Density of states at the Fermi level   1.413 states/eV/cell

Cell lengths 4.217, 4.217, 4.217 Å; angles 60.00, 60.00, 60.00 degrees
Fractional positions:
1 Y 0.250 0.250 0.250
2 Y 0.750 0.750 0.750
3 O 0.500 0.500 0.500
4 N 0.000 0.000 0.000

Entry 2:
The following is a PBE calculation of a relaxed structure of NaTl8, from Alexandria via LeMat-Bulk.

Values from the calculation:
Formation enthalpy at 0 K   -28 meV/atom
Calculated volume   271.8 Å³/cell
Crystal system   tetragonal
M_tot   0.0 μB/cell
Space group   No. 139
Density of states at the Fermi level   3.720 states/eV/cell

Cell lengths 3.963, 8.515, 8.515 Å; angles 86.90, 76.54, 76.54 degrees
Fractional positions:
1 Na 0.000 0.000 0.000
2 Tl 0.667 0.000 0.667
3 Tl 0.333 0.000 0.333
4 Tl 0.333 0.667 0.667
5 Tl 0.667 0.667 0.000
6 Tl 0.000 0.667 0.333
7 Tl 0.333 0.333 0.000
8 Tl 0.667 0.333 0.333
9 Tl 0.000 0.333 0.667

Entry 3:
The following is a PBE calculation of a relaxed structure of SrPt, from Alexandria via LeMat-Bulk.

Values from the calculation:
Formation enthalpy at 0 K   -699 meV/atom
Calculated volume   169.0 Å³/cell
Crystal system   monoclinic
M_tot   0.0 μB/cell
Space group   No. 8
Density of states at the Fermi level   3.019 states/eV/cell

Cell lengths 5.909, 5.909, 7.757 Å; angles 70.49, 70.49, 41.91 degrees
Fractional positions:
1 Sr 0.627 0.627 0.694
2 Sr 0.986 0.986 0.389
3 Sr 0.815 0.815 0.037
4 Pt 0.120 0.120 0.982
5 Pt 0.272 0.272 0.378
6 Pt 0.346 0.346 0.686

Entry 4:
The following is a PBE calculation of a relaxed structure of NdBPtO5, from Alexandria via LeMat-Bulk.

Values from the calculation:
Calculated volume   179.6 Å³/cell
Raw formation energy   -1.9518 eV per atom
Crystal system   monoclinic
M_tot   0.0 μB/cell
Space group   No. 15
Density of states at the Fermi level   0.825 states/eV/cell

Cell lengths 5.455, 5.455, 6.916 Å; angles 103.32, 103.32, 108.29 degrees
Fractional positions:
1 Nd 0.356 0.644 0.250
2 Nd 0.644 0.356 0.750
3 B 0.696 0.304 0.250
4 B 0.304 0.696 0.750
5 Pt 0.000 0.000 0.500
6 Pt 0.000 0.000 0.000
7 O 0.101 0.899 0.250
8 O 0.899 0.101 0.750
9 O 0.893 0.322 0.133
10 O 0.107 0.678 0.867
11 O 0.678 0.107 0.367
12 O 0.322 0.893 0.633
13 O 0.754 0.579 0.419
14 O 0.246 0.421 0.581
15 O 0.421 0.246 0.081
16 O 0.579 0.754 0.919

Entry 5:
The following is a PBE calculation of a relaxed structure of LiAcEuAs, from Alexandria via LeMat-Bulk.

Values from the calculation:
Formation enthalpy at 0 K   -469 meV/atom
Calculated volume   112.3 Å³/cell
Crystal system   cubic
M_tot   7.8 μB/cell
Space group   No. 216
Density of states at the Fermi level   3.219 states/eV/cell

Cell lengths 5.416, 5.416, 5.416 Å; angles 60.00, 60.00, 60.00 degrees
Fractional positions:
1 Eu 0.000 0.000 0.000
2 Ac 0.500 0.500 0.500
3 As 0.250 0.250 0.250
4 Li 0.750 0.750 0.750

Entry 6:
The following is a PBE calculation of a relaxed structure of MgIr2S, from Alexandria via LeMat-Bulk.

Values from the calculation:
Calculated volume   58.6 Å³/cell
Raw formation energy   0.3269 eV per atom
Crystal system   cubic
M_tot   0.0 μB/cell
Polymorph energy (0 for the lowest one)   0.2574 eV per atom
Space group   No. 225
Density of states at the Fermi level   3.431 states/eV/cell

Cell lengths 4.360, 4.360, 4.360 Å; angles 60.00, 60.00, 60.00 degrees
Fractional positions:
1 S 0.500 0.500 0.500
2 Ir 0.250 0.250 0.250
3 Ir 0.750 0.750 0.750
4 Mg 0.000 0.000 0.000

Entry 7:
The following is a PBE calculation of a relaxed structure of Tb8PrAl2, from Alexandria via LeMat-Bulk.

Values from the calculation:
Formation enthalpy at 0 K   5 meV/atom
Calculated volume   335.5 Å³/cell
Crystal system   monoclinic
M_tot   0.0 μB/cell
Space group   No. 12
Density of states at the Fermi level   14.434 states/eV/cell

Cell lengths 5.681, 8.543, 8.543 Å; angles 118.28, 101.68, 101.68 degrees
Fractional positions:
1 Tb 0.887 0.913 0.674
2 Tb 0.887 0.674 0.913
3 Tb 0.294 0.592 0.592
4 Tb 0.500 0.773 0.227
5 Tb 0.500 0.227 0.773
6 Tb 0.706 0.408 0.408
7 Tb 0.113 0.326 0.087
8 Tb 0.113 0.087 0.326
9 Pr 0.500 0.000 0.000
10 Al 0.000 0.308 0.692
11 Al 0.000 0.692 0.308

Entry 8:
The following is a PBE calculation of a relaxed structure of RbCuSnSe3, from Alexandria via LeMat-Bulk.

Values from the calculation:
Calculated volume   347.2 Å³/cell
Raw formation energy   -0.5876 eV per atom
Crystal system   monoclinic
M_tot   0.0 μB/cell
Space group   No. 11
Density of states at the Fermi level   1.135 states/eV/cell

Cell lengths 4.088, 9.484, 9.616 Å; angles 111.37, 90.00, 90.00 degrees
Fractional positions:
1 Rb 0.250 0.205 0.250
2 Rb 0.750 0.795 0.750
3 Cu 0.250 0.067 0.576
4 Cu 0.750 0.933 0.424
5 Sn 0.250 0.671 0.147
6 Sn 0.750 0.329 0.853
7 Se 0.750 0.869 0.147
8 Se 0.250 0.131 0.853
9 Se 0.250 0.791 0.452
10 Se 0.750 0.209 0.548
11 Se 0.750 0.467 0.157
12 Se 0.250 0.533 0.843

Entry 9:
The following is a PBE calculation of a relaxed structure of CuReSi2, from Alexandria via LeMat-Bulk.

Values from the calculation:
Calculated volume   52.2 Å³/cell
Raw formation energy   0.0579 eV per atom
Crystal system   orthorhombic
M_tot   0.0 μB/cell
Polymorph energy (0 for the lowest one)   0.1983 eV per atom
Space group   No. 44
Density of states at the Fermi level   1.558 states/eV/cell

Cell lengths 4.816, 4.816, 4.816 Å; angles 140.95, 131.28, 64.13 degrees
Fractional positions:
1 Cu 0.515 0.515 0.000
2 Re 0.245 0.745 0.500
3 Si 0.998 0.998 0.000
4 Si 0.743 0.243 0.500

Entry 10:
The following is a PBE calculation of a relaxed structure of TeMo2AuI, from Alexandria via LeMat-Bulk.

Values from the calculation:
Calculated volume   133.3 Å³/cell
Raw formation energy   1.6271 eV per atom
Crystal system   tetragonal
M_tot   0.0 μB/cell
Space group   No. 123
Density of states at the Fermi level   7.561 states/eV/cell

Cell lengths 5.085, 5.156, 5.085 Å; angles 90.00, 90.00, 90.00 degrees
Fractional positions:
1 I 0.500 0.500 0.500
2 Mo 0.000 0.000 0.500
3 Mo 0.500 0.000 0.000
4 Te 0.000 0.000 0.000
5 Au 0.000 0.500 0.000

Question: Which value of M_tot does entry 9 give?
Answer: 0.0 μB/cell

Repeat the fourth record exactly.
The following is a PBE calculation of a relaxed structure of NdBPtO5, from Alexandria via LeMat-Bulk.

Values from the calculation:
Calculated volume   179.6 Å³/cell
Raw formation energy   -1.9518 eV per atom
Crystal system   monoclinic
M_tot   0.0 μB/cell
Space group   No. 15
Density of states at the Fermi level   0.825 states/eV/cell

Cell lengths 5.455, 5.455, 6.916 Å; angles 103.32, 103.32, 108.29 degrees
Fractional positions:
1 Nd 0.356 0.644 0.250
2 Nd 0.644 0.356 0.750
3 B 0.696 0.304 0.250
4 B 0.304 0.696 0.750
5 Pt 0.000 0.000 0.500
6 Pt 0.000 0.000 0.000
7 O 0.101 0.899 0.250
8 O 0.899 0.101 0.750
9 O 0.893 0.322 0.133
10 O 0.107 0.678 0.867
11 O 0.678 0.107 0.367
12 O 0.322 0.893 0.633
13 O 0.754 0.579 0.419
14 O 0.246 0.421 0.581
15 O 0.421 0.246 0.081
16 O 0.579 0.754 0.919

Question: What is the M_tot in the tenth record?
Answer: 0.0 μB/cell